# YPuFeRu (GGA-PBE, optimized geometry)
# * energy of formation: -0.0716 eV/atom
data_YPuFeRu
_chemical_formula_sum 'Y4 Pu4 Fe4 Ru4'
_symmetry_space_group_name_H-M 'F -4 3 m'
_symmetry_Int_Tables_number 216
_symmetry_space_group_name_Hall 'F -4 2 3'
_cell_length_a 6.771
_cell_length_b 6.771
_cell_length_c 6.771
_cell_angle_alpha 90.00
_cell_angle_beta 90.00
_cell_angle_gamma 90.00
loop_
_atom_site_label
_atom_site_type_symbol
_atom_site_fract_x
_atom_site_fract_y
_atom_site_fract_z
_atom_site_occupancy
Y1 Y 0.000 0.000 0.000 1
Pu1 Pu 0.000 0.000 0.500 1
Fe1 Fe 0.250 0.250 0.250 1
Ru1 Ru 0.250 0.250 0.750 1

---

# NaCa3Pt (GGA-PBE, optimized geometry)
# * excess energy over the best structure of this formula in the dataset: 22.1 meV per atom
# * energy of formation: -0.4463 eV/atom
data_NaCa3Pt
_chemical_formula_sum 'Na2 Ca6 Pt2'
_symmetry_space_group_name_H-M 'P 1 21 1'
_symmetry_Int_Tables_number 4
_cell_length_a 8.463
_cell_length_b 3.987
_cell_length_c 10.001
_cell_angle_alpha 90.00
_cell_angle_beta 100.47
_cell_angle_gamma 90.00
loop_
_symmetry_equiv_pos_as_xyz
'x,y,z'
'-x,y+1/2,-z'
loop_
_atom_site_label
_atom_site_type_symbol
_atom_site_fract_x
_atom_site_fract_y
_atom_site_fract_z
_atom_site_occupancy
Na1 Na 0.165 0.000 0.059 1
Ca1 Ca 0.031 0.019 0.653 1
Ca2 Ca 0.347 0.020 0.416 1
Ca3 Ca 0.435 0.019 0.811 1
Pt1 Pt 0.278 0.520 0.606 1

---

It is found that the total magnetic moment values, taken in the order of the records, are 10.20 0.00 Bohr magnetons per cell.
It is found that the D(E_F) values, taken in the order of the records, are 1.377 0.625 states/eV per atom.